DFT (PBE-GGA) results for an optimized crystal structure of PuAl.

```
2
Lattice="0.000 3.400 3.400 3.400 0.000 3.400 3.400 3.400 0.000" Properties=species:S:1:pos:R:3 pbc="T T T"
Al 0.000 0.000 0.000
Pu 1.700 1.700 1.700
```

Its total energy is -7.773 eV per atom. The space-group type is F-43m, No. 216.